# 1
Density functional theory data (PBE-GGA) for crystalline TlOs2W at its relaxed geometry.

Cell lengths 5.425, 5.425, 5.425 Å; angles 145.86, 131.17, 60.93 degrees
Positions (direct):
Tl: 0.000 0.000 0.000
Os: 0.482 0.482 0.000
Os: 0.750 0.250 0.500
W: 0.255 0.755 0.500

## Properties
Crystal system: orthorhombic
Raw total energy in eV/atom: -8.5343
Formation energy in eV per atom: 0.91
Energy above the lowest structure with this stoichiometry in meV per atom: 382

# 2
Density functional theory data (PBE-GGA) for crystalline TlOs2W at its relaxed geometry.

Cell lengths 3.059, 4.476, 4.875 Å; angles 90.00, 90.00, 90.00 degrees
Positions (direct):
Tl: 0.000 0.000 0.000
Os: 0.000 0.500 0.500
Os: 0.500 0.500 0.000
W: 0.500 0.000 0.500

## Properties
Crystal system: orthorhombic
Raw total energy in eV/atom: -8.3746
Formation energy in eV per atom: 1.07
Energy above the lowest structure with this stoichiometry in meV per atom: 541

# 3
Density functional theory data (PBE-GGA) for crystalline Tl3OsW at its relaxed geometry.

Cell lengths 5.351, 5.351, 5.351 Å; angles 90.00, 90.00, 90.00 degrees
Positions (direct):
Tl: 0.000 0.000 0.500
Tl: 0.000 0.500 0.000
Tl: 0.500 0.000 0.000
Os: 0.500 0.500 0.500
W: 0.000 0.000 0.000

## Properties
Crystal system: cubic
Raw total energy in eV/atom: -4.2323
Formation energy in eV per atom: 2.02

# 4
Density functional theory data (PBE-GGA) for crystalline TlOsW3 at its relaxed geometry.

Cell lengths 4.801, 4.801, 4.801 Å; angles 90.00, 90.00, 90.00 degrees
Positions (direct):
Tl: 0.000 0.000 0.000
Os: 0.500 0.500 0.500
W: 0.000 0.500 0.500
W: 0.500 0.000 0.500
W: 0.500 0.500 0.000

## Properties
Crystal system: cubic
Raw total energy in eV/atom: -8.5690
Formation energy in eV per atom: 1.92
Energy above the lowest structure with this stoichiometry in meV per atom: 0

# 5
Density functional theory data (PBE-GGA) for crystalline Tl2OsW at its relaxed geometry.

Cell lengths 5.009, 5.009, 5.230 Å; angles 100.84, 100.84, 35.74 degrees
Positions (direct):
Tl: 0.247 0.247 0.246
Tl: 0.753 0.753 0.754
Os: 0.500 0.500 0.000
W: 0.000 0.000 0.500

## Properties
Crystal system: monoclinic
Raw total energy in eV/atom: -6.0942
Formation energy in eV per atom: 1.13
Energy above the lowest structure with this stoichiometry in meV per atom: 642

# 6
Density functional theory data (PBE-GGA) for crystalline Tl2OsW at its relaxed geometry.

Cell lengths 3.114, 4.256, 5.747 Å; angles 90.00, 90.00, 90.00 degrees
Positions (direct):
Tl: 0.000 0.000 0.246
Tl: 0.000 0.000 0.754
Os: 0.500 0.500 0.000
W: 0.500 0.500 0.500

## Properties
Crystal system: orthorhombic
Raw total energy in eV/atom: -5.8710
Formation energy in eV per atom: 1.36
Energy above the lowest structure with this stoichiometry in meV per atom: 865